Cs2Ca2Tl after structural relaxation. Source: the Alexandria database, functional PBE.

Output
energy of formation	0.074	eV/atom
theoretical density	3.3	g cm⁻³
E_tot	-15.41	eV for the cell shown

The structure in POSCAR format:
```
Cs2Ca2Tl
1.0
-6.742 4.443 -2.862
-5.111 -6.662 1.697
-1.178 2.665 6.910
Cs Ca Tl
4 4 2
Cartesian
-7.706 2.852 1.656
-9.371 -1.066 2.883
-5.325 -2.407 4.090
-3.660 1.511 2.863
-2.827 -1.481 0.089
-9.025 -0.739 -1.254
-5.346 1.852 -1.625
-6.507 -4.071 0.460
0.000 0.000 0.000
-5.926 -1.110 -0.583
```